i:
An optimized crystal structure of Fe3BiO, computed with PBE with a Hubbard U.

It has space group Pm-3m (No. 221), with a = 4.3827 Å, b = 4.3827 Å, c = 4.3827 Å, α = 90.00°, β = 90.00° and γ = 90.00°. The inequivalent atoms are Fe at (0.0000, 0.0000, 0.5000), Bi at (0.5000, 0.5000, 0.5000) and O at (0.0000, 0.0000, 0.0000).

The calculation puts the density of states at the Fermi level at 5.31 states/eV per cell.

---

ii:
An optimized crystal structure of Fe3BiO, computed with PBE with a Hubbard U.

It has space group Pm-3m (No. 221), with a = 5.1704 Å, b = 5.1704 Å, c = 5.1704 Å, α = 90.00°, β = 90.00° and γ = 90.00°. The inequivalent atoms are Fe at (0.0000, 0.0000, 0.5000), Bi at (0.0000, 0.0000, 0.0000) and O at (0.5000, 0.5000, 0.5000).

The calculation puts the density of states at the Fermi level at 5.14 states/eV per cell.

---

Going by the energies, i is most stable and the next is 1661 meV/atom up.